Here is a relaxed Cr2AsRu crystal from the Alexandria database. Energies are from PBEsol.

Properties
V	50.7	Å³ per cell
final energy	-8.7960	eV per atom
density of states at the Fermi level	4.17	states/eV/cell
crystal system	orthorhombic

Cell lengths 2.7879, 3.7691, 4.8296 Å; angles 90.00, 90.00, 90.00 degrees
Space group Pmm2 (No. 25)
Unique sites:
1 Cr 0.0000 0.0000 0.0000 (multiplicity 1)
2 Cr 0.5000 0.5000 0.2498 (multiplicity 1)
3 As 0.5000 0.5000 0.7553 (multiplicity 1)
4 Ru 0.0000 0.0000 0.4936 (multiplicity 1)